First-principles (GGA-PBE) data for an optimized crystal structure of CePm8Tl6, as listed in Alexandria via LeMat-Bulk.

Cell lengths 9.3353, 9.3353, 19.8220 Å; angles 90.00, 90.00, 120.00 degrees
Last column: nearest neighbours and their distance in Å.
Space group R-3 (No. 148, hexagonal axes)
Inequivalent atoms, fractional coordinates:
Ce 0.0000 0.0000 0.0000  6 Tl 3.36
Pm 0.0000 0.0000 0.3322  6 Tl 3.30-3.32
Pm 0.0018 0.6727 0.1116  5 Tl 3.22-3.39
Tl 0.0001 0.3368 0.0595  7 Pm 3.22-3.39, 1 Ce 3.36

Computed properties:
Formation energy = -140 meV per atom
Density of states at the Fermi level = 86.11 states/eV/cell
Crystal system = trigonal
VASP energy = -4.02 eV per atom